(1)
## Hf5Zr2Os2Au (PBE)

Data for a relaxed structure of Hf5Zr2Os2Au.

abc: 11.2518 11.2518 3.3366
angles: 90.00 90.00 90.00
Closest atoms and distances in Å follow each position.
Sites, in units of the cell vectors:
1 Hf 0.0000 0.5000 0.0000  4 Os 2.74
2 Hf 0.0479 0.2049 0.0000  2 Os 2.64, 2 Au 2.90
3 Hf 0.2049 0.9521 0.0000  2 Os 2.64, 2 Au 2.90
4 Hf 0.2951 0.4521 0.0000  2 Os 2.64, 2 Au 2.90
5 Hf 0.4521 0.7049 0.0000  2 Os 2.64, 2 Au 2.90
6 Hf 0.5000 0.0000 0.0000  4 Os 2.74
7 Hf 0.5479 0.2951 0.0000  2 Os 2.64, 2 Au 2.90
8 Hf 0.7049 0.5479 0.0000  2 Os 2.64, 2 Au 2.90
9 Hf 0.7951 0.0479 0.0000  2 Os 2.64, 2 Au 2.90
10 Hf 0.9521 0.7951 0.0000  2 Os 2.64, 2 Au 2.90
11 Zr 0.1837 0.6837 0.5000  1 Os 2.86
12 Zr 0.3163 0.1837 0.5000  1 Os 2.86
13 Zr 0.6837 0.8163 0.5000  1 Os 2.86
14 Zr 0.8163 0.3163 0.5000  1 Os 2.86
15 Os 0.1368 0.3632 0.5000  6 Hf 2.64-2.74, 1 Zr 2.86
16 Os 0.3632 0.8632 0.5000  6 Hf 2.64-2.74, 1 Zr 2.86
17 Os 0.6368 0.1368 0.5000  6 Hf 2.64-2.74, 1 Zr 2.86
18 Os 0.8632 0.6368 0.5000  6 Hf 2.64-2.74, 1 Zr 2.86
19 Au 0.0000 0.0000 0.5000  8 Hf 2.90
20 Au 0.5000 0.5000 0.5000  8 Hf 2.90

Calculated total energy = -95.577 eV/f.u.
Formation enthalpy at 0 K = -0.298 eV per atom

(2)
## LaBeGe3 (PBE)

Data for a relaxed structure of LaBeGe3.

abc: 6.5469 6.5469 6.5469
angles: 68.92 68.92 68.92
Closest atoms and distances in Å follow each position.
Sites, in units of the cell vectors:
1 La 0.1298 0.1298 0.1298  6 Ge 2.96-3.28, 1 Be 3.20
2 La 0.8702 0.8702 0.8702  6 Ge 2.96-3.28, 1 Be 3.20
3 Be 0.3450 0.3450 0.3450  6 Ge 2.39-2.56
4 Be 0.6550 0.6550 0.6550  6 Ge 2.39-2.56
5 Ge 0.0194 0.6959 0.4135  2 Be 2.39-2.56, 1 Ge 2.47
6 Ge 0.3041 0.5865 0.9806  2 Be 2.39-2.56, 1 Ge 2.47
7 Ge 0.4135 0.0194 0.6959  2 Be 2.39-2.56, 1 Ge 2.47
8 Ge 0.5865 0.9806 0.3041  2 Be 2.39-2.56, 1 Ge 2.47
9 Ge 0.6959 0.4135 0.0194  2 Be 2.39-2.56, 1 Ge 2.47
10 Ge 0.9806 0.3041 0.5865  2 Be 2.39-2.56, 1 Ge 2.47

Excess energy over the best structure of this formula in the dataset = 1.46 eV/f.u.
Calculated total energy = -22.661 eV/f.u.
Formation enthalpy at 0 K = -0.031 eV per atom

(3)
## Na6Br5 (PBE)

Data for a relaxed structure of Na6Br5.

abc: 7.3785 7.3785 7.3833
angles: 99.64 99.64 119.95
Closest atoms and distances in Å follow each position.
Sites, in units of the cell vectors:
1 Na 0.0831 0.4147 0.7496  5 Br 3.01-3.03
2 Na 0.2493 0.2493 0.2508  5 Br 3.00-3.03
3 Na 0.4147 0.0831 0.7496  5 Br 3.01-3.03
4 Na 0.5853 0.9169 0.2504  5 Br 3.01-3.03
5 Na 0.7507 0.7507 0.7492  5 Br 3.00-3.03
6 Na 0.9169 0.5853 0.2504  5 Br 3.01-3.03
7 Br 0.1658 0.8342 0.0000  6 Na 3.00-3.03
8 Br 0.3330 0.6670 0.5000  6 Na 3.01-3.02
9 Br 0.5000 0.5000 0.0000  6 Na 3.01-3.03
10 Br 0.6670 0.3330 0.5000  6 Na 3.01-3.02
11 Br 0.8342 0.1658 0.0000  6 Na 3.00-3.03

Calculated total energy = -31.141 eV/f.u.
Uncorrected formation energy = -1.351 eV per atom

Values of D(E_F), in order: 1.13 0.41 0.20, all in states/eV/atom.